The following is a GGA-PBE calculation of a geometry-optimized Na3Pt structure, from Alexandria via LeMat-Bulk.

Unit cell a=8.2608 b=8.9359 c=5.5037 alpha=90.00 beta=90.00 gamma=90.00
Fractional coordinates of all 16 atoms:
Na  0.9791  0.7500  0.0790
Na  0.6673  0.0647  0.1003
Na  0.8327  0.5647  0.6003
Na  0.1673  0.0647  0.3997
Na  0.6673  0.4353  0.1003
Na  0.3327  0.9353  0.8997
Na  0.8327  0.9353  0.6003
Na  0.5209  0.2500  0.5790
Na  0.3327  0.5647  0.8997
Na  0.4791  0.7500  0.4210
Na  0.1673  0.4353  0.3997
Na  0.0209  0.2500  0.9210
Pt  0.6323  0.7500  0.9294
Pt  0.8677  0.2500  0.4294
Pt  0.1323  0.7500  0.5706
Pt  0.3677  0.2500  0.0706

Calculated values
The formation energy is -0.068 eV per atom. Its total magnetization is 0.0 μB/cell. Its symmetry is Pnma, No. 62. The final energy comes out at -2.5676 eV per atom.

---

The following is a GGA-PBE calculation of a geometry-optimized NaPt5 structure, from Alexandria via LeMat-Bulk.

Unit cell a=6.3946 b=6.3946 c=3.8869 alpha=90.00 beta=90.00 gamma=143.50
Fractional coordinates of all 6 atoms:
Pt  0.6711  0.3289  0.5000
Pt  0.1628  0.8372  0.0000
Pt  0.8372  0.1628  0.0000
Pt  0.0000  0.0000  0.5000
Pt  0.3289  0.6711  0.5000
Na  0.5000  0.5000  0.0000

Calculated values
The formation energy is -0.060 eV per atom. Its total magnetization is 0.0 μB/cell. Its symmetry is Cmmm, No. 65. As for the polymorph energy (0 for the lowest one): 0.42 eV per formula unit. The final energy comes out at -5.3134 eV per atom.

---

The following is a GGA-PBE calculation of a geometry-optimized Na3Pt5 structure, from Alexandria via LeMat-Bulk.

Unit cell a=8.2771 b=11.0009 c=4.9163 alpha=90.00 beta=90.00 gamma=131.58
Fractional coordinates of all 16 atoms:
Na  0.3798  0.9405  0.7500
Na  0.3793  0.4392  0.2500
Na  0.6202  0.0595  0.2500
Na  0.9999  0.3581  0.7500
Na  0.6207  0.5608  0.7500
Na  0.0001  0.6420  0.2500
Pt  0.5553  0.2777  0.0000
Pt  0.5553  0.2777  0.5000
Pt  0.0001  0.8765  0.7500
Pt  0.4447  0.7223  0.0000
Pt  0.2107  0.2066  0.7500
Pt  0.7891  0.9956  0.7500
Pt  0.9999  0.1236  0.2500
Pt  0.7894  0.7934  0.2500
Pt  0.4447  0.7223  0.5000
Pt  0.2109  0.0044  0.2500

Calculated values
The formation energy is 0.050 eV per atom. Its total magnetization is 0.0 μB/cell. Its symmetry is Cmcm, No. 63. As for the polymorph energy (0 for the lowest one): 1.37 eV per formula unit. The final energy comes out at -4.2203 eV per atom.

---

The following is a GGA-PBE calculation of a geometry-optimized Na3Pt2 structure, from Alexandria via LeMat-Bulk.

Unit cell a=12.9884 b=12.9884 c=12.9884 alpha=12.83 beta=12.83 gamma=12.83
Fractional coordinates of all 5 atoms:
Na  0.0000  0.0000  0.0000
Na  0.2083  0.2083  0.2083
Na  0.7917  0.7917  0.7917
Pt  0.6039  0.6039  0.6039
Pt  0.3961  0.3961  0.3961

Calculated values
The formation energy is -0.085 eV per atom. Its total magnetization is 0.0 μB/cell. Its symmetry is R-3m, No. 166. As for the polymorph energy (0 for the lowest one): 0.00 eV per formula unit. The final energy comes out at -3.2929 eV per atom.

---

The following is a GGA-PBE calculation of a geometry-optimized Na4Pt structure, from Alexandria via LeMat-Bulk.

Unit cell a=5.4557 b=7.5708 c=8.5389 alpha=116.32 beta=108.63 gamma=90.00
Fractional coordinates of all 10 atoms:
Na  0.4250  0.6087  0.8500
Na  0.8297  0.6952  0.6594
Na  0.9250  0.2413  0.8500
Na  0.1703  0.3048  0.3406
Na  0.5750  0.3913  0.1500
Na  0.6703  0.0357  0.3406
Na  0.0750  0.7587  0.1500
Na  0.3297  0.9642  0.6594
Pt  0.2500  0.0000  0.0000
Pt  0.7500  0.0000  0.0000

Calculated values
The formation energy is -0.098 eV per atom. Its total magnetization is 0.0 μB/cell. Its symmetry is Ibam, No. 72. As for the polymorph energy (0 for the lowest one): 0.00 eV per formula unit. The final energy comes out at -2.3615 eV per atom.

---

The following is a GGA-PBE calculation of a geometry-optimized Na4Pt5 structure, from Alexandria via LeMat-Bulk.

Unit cell a=8.0337 b=8.0337 c=5.5808 alpha=90.00 beta=90.00 gamma=120.00
Fractional coordinates of all 18 atoms:
Pt  0.3333  0.6667  0.0000
Pt  0.6164  0.0000  0.2500
Pt  0.0000  0.3836  0.7500
Pt  0.6667  0.3333  0.0000
Pt  0.3836  0.3836  0.2500
Pt  0.3333  0.6667  0.5000
Pt  0.6667  0.3333  0.5000
Pt  0.6164  0.6164  0.7500
Pt  0.0000  0.6164  0.2500
Pt  0.3836  0.0000  0.7500
Na  0.2995  0.0000  0.2500
Na  0.0000  0.0000  0.5000
Na  0.7005  0.7005  0.2500
Na  0.2995  0.2995  0.7500
Na  0.0000  0.7005  0.7500
Na  0.0000  0.0000  0.0000
Na  0.0000  0.2995  0.2500
Na  0.7005  0.0000  0.7500

Calculated values
The formation energy is 0.090 eV per atom. Its total magnetization is 0.0 μB/cell. Its symmetry is P6_3/mcm, No. 193. As for the polymorph energy (0 for the lowest one): 0.84 eV per formula unit. The final energy comes out at -3.8522 eV per atom.

---

Repeat the first record exactly.
The following is a GGA-PBE calculation of a geometry-optimized Na3Pt structure, from Alexandria via LeMat-Bulk.

Unit cell a=8.2608 b=8.9359 c=5.5037 alpha=90.00 beta=90.00 gamma=90.00
Fractional coordinates of all 16 atoms:
Na  0.9791  0.7500  0.0790
Na  0.6673  0.0647  0.1003
Na  0.8327  0.5647  0.6003
Na  0.1673  0.0647  0.3997
Na  0.6673  0.4353  0.1003
Na  0.3327  0.9353  0.8997
Na  0.8327  0.9353  0.6003
Na  0.5209  0.2500  0.5790
Na  0.3327  0.5647  0.8997
Na  0.4791  0.7500  0.4210
Na  0.1673  0.4353  0.3997
Na  0.0209  0.2500  0.9210
Pt  0.6323  0.7500  0.9294
Pt  0.8677  0.2500  0.4294
Pt  0.1323  0.7500  0.5706
Pt  0.3677  0.2500  0.0706

Calculated values
The formation energy is -0.068 eV per atom. Its total magnetization is 0.0 μB/cell. Its symmetry is Pnma, No. 62. The final energy comes out at -2.5676 eV per atom.